First-principles (PBE) data for a relaxed CdPtSeN2 crystal, as listed in the Alexandria database.

Output
calculated density = 5.7 Mg/m³
energy = -4.50 eV/atom
excess energy over the best structure of this formula in the dataset = 0 meV/atom
formation energy from raw total energies = 916 meV per atom

Geometry as CIF:
```
data_CdPtSeN2
_symmetry_space_group_name_H-M 'P 4/m m m'
_symmetry_Int_Tables_number 123
_symmetry_space_group_name_Hall '-P 4 2'
_cell_length_a 3.7760
_cell_length_b 3.7760
_cell_length_c 8.5090
_cell_angle_alpha 90.00
_cell_angle_beta 90.00
_cell_angle_gamma 90.00
loop_
_atom_site_label
_atom_site_fract_x
_atom_site_fract_y
_atom_site_fract_z
Cd1 0.0000 0.0000 0.0000
Pt1 0.5000 0.5000 0.5000
Se1 0.5000 0.5000 0.0000
N1 0.0000 0.5000 0.5000
```

=====

First-principles (PBE) data for a relaxed Pr3SbAsBr crystal, as listed in the Alexandria database.

Output
calculated density = 6.2 Mg/m³
energy = -5.29 eV/atom
formation energy from raw total energies = -1161 meV per atom

Geometry as CIF:
```
data_Pr3SbAsBr
_symmetry_space_group_name_H-M 'P 1 21/m 1'
_symmetry_Int_Tables_number 11
_symmetry_space_group_name_Hall '-P 2yb'
_cell_length_a 8.7351
_cell_length_b 4.4322
_cell_length_c 9.9906
_cell_angle_alpha 90.00
_cell_angle_beta 103.93
_cell_angle_gamma 90.00
loop_
_atom_site_label
_atom_site_fract_x
_atom_site_fract_y
_atom_site_fract_z
Pr1 0.0680 0.2500 0.3500
Pr2 0.2094 0.2500 0.9980
Pr3 0.3975 0.7500 0.6224
Sb1 0.3093 0.7500 0.2738
As1 0.1650 0.2500 0.6526
Br1 0.3879 0.7500 0.9127
```

=====

First-principles (PBE) data for a relaxed MgCo3 crystal, as listed in the Alexandria database.

Output
calculated density = 6.7 Mg/m³
energy of formation = 147 meV/atom
energy = -5.58 eV/atom

Geometry as CIF:
```
data_MgCo3
_symmetry_space_group_name_H-M 'P m m n'
_symmetry_Int_Tables_number 59
_cell_length_a 4.1649
_cell_length_b 5.1673
_cell_length_c 4.6536
_cell_angle_alpha 90.00
_cell_angle_beta 90.00
_cell_angle_gamma 90.00
loop_
_symmetry_equiv_pos_as_xyz
'x,y,z'
'-x,-y,-z'
'-x+1/2,-y+1/2,z'
'x+1/2,y+1/2,-z'
'x+1/2,-y,-z'
'-x+1/2,y,z'
'-x,y+1/2,-z'
'x,-y+1/2,z'
loop_
_atom_site_label
_atom_site_fract_x
_atom_site_fract_y
_atom_site_fract_z
Mg1 0.2500 0.2500 0.1375
Co1 0.2500 0.5016 0.6417
Co2 0.2500 0.7500 0.2072
```

=====

First-principles (PBE) data for a relaxed FeTcAs2P crystal, as listed in the Alexandria database.

Output
calculated density = 6.2 Mg/m³
energy of formation = 803 meV/atom
energy = -5.90 eV/atom

Geometry as CIF:
```
data_FeTcAs2P
_symmetry_space_group_name_H-M 'P 4/m m m'
_symmetry_Int_Tables_number 123
_symmetry_space_group_name_Hall '-P 4 2'
_cell_length_a 4.6375
_cell_length_b 4.6375
_cell_length_c 4.1394
_cell_angle_alpha 90.00
_cell_angle_beta 90.00
_cell_angle_gamma 90.00
loop_
_atom_site_label
_atom_site_fract_x
_atom_site_fract_y
_atom_site_fract_z
Fe1 0.0000 0.0000 0.0000
Tc1 0.5000 0.5000 0.5000
As1 0.0000 0.5000 0.0000
P1 0.0000 0.0000 0.5000
```

=====

First-principles (PBE) data for a relaxed LiRhAu2 crystal, as listed in the Alexandria database.

Output
calculated density = 13.4 Mg/m³
energy of formation = -45 meV/atom
energy = -4.00 eV/atom

Geometry as CIF:
```
data_LiRhAu2
_symmetry_space_group_name_H-M 'P 4 m m'
_symmetry_Int_Tables_number 99
_symmetry_space_group_name_Hall 'P 4 -2'
_cell_length_a 3.1382
_cell_length_b 3.1382
_cell_length_c 6.3231
_cell_angle_alpha 90.00
_cell_angle_beta 90.00
_cell_angle_gamma 90.00
loop_
_atom_site_label
_atom_site_fract_x
_atom_site_fract_y
_atom_site_fract_z
Li1 0.0000 0.0000 0.0000
Rh1 0.5000 0.5000 0.2192
Au1 0.0000 0.0000 0.4811
Au2 0.5000 0.5000 0.7760
```

=====

First-principles (PBE) data for a relaxed HgW crystal, as listed in the Alexandria database.

Output
calculated density = 17.4 Mg/m³
energy of formation = 827 meV/atom
energy = -5.80 eV/atom
excess energy over the best structure of this formula in the dataset = 322 meV/atom

Geometry as CIF:
```
data_HgW
_symmetry_space_group_name_H-M 'C 1 2/m 1'
_symmetry_Int_Tables_number 12
_symmetry_space_group_name_Hall '-C 2y'
_cell_length_a 9.8423
_cell_length_b 2.8015
_cell_length_c 5.3340
_cell_angle_alpha 90.00
_cell_angle_beta 95.53
_cell_angle_gamma 90.00
loop_
_atom_site_label
_atom_site_fract_x
_atom_site_fract_y
_atom_site_fract_z
Hg1 0.1226 0.0000 0.3844
W1 0.1250 0.5000 0.9013
```

=====

First-principles (PBE) data for a relaxed Na5Mn3Br12 crystal, as listed in the Alexandria database.

Output
calculated density = 3.0 Mg/m³
energy = -3.77 eV/atom
formation energy from raw total energies = -1061 meV per atom

Geometry as CIF:
```
data_Na5Mn3Br12
_symmetry_space_group_name_H-M 'I a -3 d'
_symmetry_Int_Tables_number 230
_symmetry_space_group_name_Hall '-I 4bd 2c 3'
_cell_length_a 17.5665
_cell_length_b 17.5665
_cell_length_c 17.5665
_cell_angle_alpha 90.00
_cell_angle_beta 90.00
_cell_angle_gamma 90.00
loop_
_atom_site_label
_atom_site_fract_x
_atom_site_fract_y
_atom_site_fract_z
Na1 0.0000 0.0000 0.0000
Na2 0.0000 0.2500 0.3750
Mn1 0.0000 0.2500 0.1250
Br1 0.0252 0.0417 0.3411
```

=====

- Which value of calculated density does entry 6 give?
  17.4 Mg/m³